a) A plane-wave DFT calculation with PBE-GGA was carried out for a relaxed structure of AcSm3Ho4.

Output
- Crystal system: orthorhombic
- Symmetry: Immm
- Total magnetization: 0.00 Bohr magnetons per cell

a = 3.4852 Å, b = 11.7761 Å, c = 13.2232 Å
α = 90.00°, β = 90.00°, γ = 90.00°
Last column: nearest neighbours and their distance in Å.
Element x y z (fractional)
Ac: 0.0000 0.0000 0.0000  2 Ac 3.49, 4 Ho 3.49, 4 Sm 3.66
Ac: 0.5000 0.5000 0.5000  2 Ac 3.49, 4 Ho 3.49, 4 Sm 3.66
Sm: 0.0000 0.0000 0.5000  6 Sm 3.49-3.81, 8 Ho 3.83
Sm: 0.0000 0.5000 0.2565  2 Ho 3.31, 2 Sm 3.49, 2 Ac 3.66
Sm: 0.0000 0.5000 0.7435  2 Ho 3.31, 2 Sm 3.49, 2 Ac 3.66
Sm: 0.5000 0.0000 0.2435  2 Ho 3.31, 2 Sm 3.49, 2 Ac 3.66
Sm: 0.5000 0.0000 0.7565  2 Ho 3.31, 2 Sm 3.49, 2 Ac 3.66
Sm: 0.5000 0.5000 0.0000  6 Sm 3.49-3.81, 8 Ho 3.83
Ho: 0.0000 0.2538 0.1364  1 Sm 3.31, 5 Ho 3.47-3.61, 1 Ac 3.49
Ho: 0.0000 0.2538 0.8636  1 Sm 3.31, 5 Ho 3.47-3.61, 1 Ac 3.49
Ho: 0.0000 0.7462 0.1364  1 Sm 3.31, 5 Ho 3.47-3.61, 1 Ac 3.49
Ho: 0.0000 0.7462 0.8636  1 Sm 3.31, 5 Ho 3.47-3.61, 1 Ac 3.49
Ho: 0.5000 0.2462 0.3636  1 Sm 3.31, 5 Ho 3.47-3.61, 1 Ac 3.49
Ho: 0.5000 0.2462 0.6364  1 Sm 3.31, 5 Ho 3.47-3.61, 1 Ac 3.49
Ho: 0.5000 0.7538 0.3636  1 Sm 3.31, 5 Ho 3.47-3.61, 1 Ac 3.49
Ho: 0.5000 0.7538 0.6364  1 Sm 3.31, 5 Ho 3.47-3.61, 1 Ac 3.49


b) A plane-wave DFT calculation with PBE-GGA was carried out for a relaxed structure of AcSm3Ho4.

Output
- Crystal system: orthorhombic
- Symmetry: Pmn2_1
- Total magnetization: 0.00 Bohr magnetons per cell

a = 11.6032 Å, b = 7.3804 Å, c = 6.3384 Å
α = 90.00°, β = 90.00°, γ = 90.00°
Last column: nearest neighbours and their distance in Å.
Element x y z (fractional)
Ac: 0.0000 0.1259 0.0000  6 Sm 3.61-3.75, 6 Ho 3.62-3.74
Ac: 0.5000 0.8741 0.5000  6 Sm 3.61-3.75, 6 Ho 3.62-3.74
Sm: 0.0000 0.8669 0.4914  6 Ho 3.56-3.81, 4 Sm 3.62-3.63, 2 Ac 3.65-3.75
Sm: 0.2474 0.1303 0.6537  6 Ho 3.58-3.77, 2 Ac 3.61-3.62, 4 Sm 3.62-3.71
Sm: 0.2526 0.8697 0.1537  6 Ho 3.58-3.77, 2 Ac 3.61-3.62, 4 Sm 3.62-3.71
Sm: 0.5000 0.1331 0.9914  6 Ho 3.56-3.81, 4 Sm 3.62-3.63, 2 Ac 3.65-3.75
Sm: 0.7474 0.8697 0.1537  6 Ho 3.58-3.77, 2 Ac 3.61-3.62, 4 Sm 3.62-3.71
Sm: 0.7526 0.1303 0.6537  6 Ho 3.58-3.77, 2 Ac 3.61-3.62, 4 Sm 3.62-3.71
Ho: 0.0000 0.3834 0.4912  6 Ho 3.52-3.64, 4 Sm 3.57-3.81, 2 Ac 3.65-3.74
Ho: 0.0000 0.6218 0.9891  6 Ho 3.56-3.64, 4 Sm 3.61-3.66, 2 Ac 3.66-3.72
Ho: 0.2474 0.6196 0.6568  6 Ho 3.52-3.63, 5 Sm 3.56-3.77, 1 Ac 3.62
Ho: 0.2526 0.3804 0.1568  6 Ho 3.52-3.63, 5 Sm 3.56-3.77, 1 Ac 3.62
Ho: 0.5000 0.3782 0.4891  6 Ho 3.56-3.64, 4 Sm 3.61-3.66, 2 Ac 3.66-3.72
Ho: 0.5000 0.6166 0.9912  6 Ho 3.52-3.64, 4 Sm 3.57-3.81, 2 Ac 3.65-3.74
Ho: 0.7474 0.3804 0.1568  6 Ho 3.52-3.63, 5 Sm 3.56-3.77, 1 Ac 3.62
Ho: 0.7526 0.6196 0.6568  6 Ho 3.52-3.63, 5 Sm 3.56-3.77, 1 Ac 3.62


Short version: b) is the most stable of them.


a) A plane-wave DFT calculation with PBE-GGA was carried out for a relaxed structure of AcSmHo2.

Output
- Crystal system: tetragonal
- Symmetry: P4/mmm
- Total magnetization: 0.00 Bohr magnetons per cell

a = 5.2256 Å, b = 5.2256 Å, c = 5.0948 Å
α = 90.00°, β = 90.00°, γ = 90.00°
Last column: nearest neighbours and their distance in Å.
Element x y z (fractional)
Ac: 0.0000 0.0000 0.0000  8 Ho 3.65, 4 Sm 3.70
Sm: 0.5000 0.5000 0.0000  8 Ho 3.65, 4 Ac 3.70
Ho: 0.0000 0.5000 0.5000  4 Ac 3.65, 4 Sm 3.65, 4 Ho 3.70
Ho: 0.5000 0.0000 0.5000  4 Ac 3.65, 4 Sm 3.65, 4 Ho 3.70


b) A plane-wave DFT calculation with PBE-GGA was carried out for a relaxed structure of AcSmHo2.

Output
- Crystal system: tetragonal
- Symmetry: P4/mmm
- Total magnetization: 0.00 Bohr magnetons per cell

a = 4.2097 Å, b = 4.2097 Å, c = 7.9200 Å
α = 90.00°, β = 90.00°, γ = 90.00°
Last column: nearest neighbours and their distance in Å.
Element x y z (fractional)
Ac: 0.0000 0.0000 0.0000  8 Ho 3.66, 2 Sm 3.96
Sm: 0.0000 0.0000 0.5000  8 Ho 3.50
Ho: 0.5000 0.5000 0.2685  4 Sm 3.50, 4 Ac 3.66, 1 Ho 3.67
Ho: 0.5000 0.5000 0.7315  4 Sm 3.50, 4 Ac 3.66, 1 Ho 3.67


Short version: a) is the most stable of them.


a) A plane-wave DFT calculation with PBE-GGA was carried out for a relaxed structure of AcSmHo2.

Output
- Crystal system: trigonal
- Symmetry: R3m
- Total magnetization: 0.00 Bohr magnetons per cell

a = 3.7077 Å, b = 3.7077 Å, c = 35.2135 Å
α = 90.00°, β = 90.00°, γ = 120.00°
Last column: nearest neighbours and their distance in Å.
Element x y z (fractional)
Ac: 0.0000 0.0000 0.0000  6 Ho 3.69-3.70, 6 Ac 3.71
Ac: 0.3333 0.6667 0.6667  6 Ho 3.69-3.70, 6 Ac 3.71
Ac: 0.6667 0.3333 0.3333  6 Ho 3.69-3.70, 6 Ac 3.71
Sm: 0.0000 0.0000 0.1661  6 Ho 3.56-3.58, 6 Sm 3.71
Sm: 0.3333 0.6667 0.8328  6 Ho 3.56-3.58, 6 Sm 3.71
Sm: 0.6667 0.3333 0.4995  6 Ho 3.56-3.58, 6 Sm 3.71
Ho: 0.0000 0.0000 0.4189  3 Sm 3.56, 3 Ac 3.69, 6 Ho 3.71
Ho: 0.0000 0.0000 0.5810  3 Sm 3.58, 3 Ac 3.70, 6 Ho 3.71
Ho: 0.3333 0.6667 0.0855  3 Sm 3.56, 3 Ac 3.69, 6 Ho 3.71
Ho: 0.3333 0.6667 0.2476  3 Sm 3.58, 3 Ac 3.70, 6 Ho 3.71
Ho: 0.6667 0.3333 0.7522  3 Sm 3.56, 3 Ac 3.69, 6 Ho 3.71
Ho: 0.6667 0.3333 0.9143  3 Sm 3.58, 3 Ac 3.70, 6 Ho 3.71


b) A plane-wave DFT calculation with PBE-GGA was carried out for a relaxed structure of AcSmHo2.

Output
- Crystal system: cubic
- Symmetry: Fm-3m
- Total magnetization: 0.00 Bohr magnetons per cell

a = 8.2618 Å, b = 8.2618 Å, c = 8.2618 Å
α = 90.00°, β = 90.00°, γ = 90.00°
Last column: nearest neighbours and their distance in Å.
Element x y z (fractional)
Ac: 0.0000 0.0000 0.0000  8 Ho 3.58
Ac: 0.0000 0.5000 0.5000  8 Ho 3.58
Ac: 0.5000 0.0000 0.5000  8 Ho 3.58
Ac: 0.5000 0.5000 0.0000  8 Ho 3.58
Sm: 0.0000 0.0000 0.5000  8 Ho 3.58
Sm: 0.0000 0.5000 0.0000  8 Ho 3.58
Sm: 0.5000 0.0000 0.0000  8 Ho 3.58
Sm: 0.5000 0.5000 0.5000  8 Ho 3.58
Ho: 0.2500 0.2500 0.2500  4 Ac 3.58, 4 Sm 3.58
Ho: 0.2500 0.2500 0.7500  4 Ac 3.58, 4 Sm 3.58
Ho: 0.2500 0.7500 0.2500  4 Ac 3.58, 4 Sm 3.58
Ho: 0.2500 0.7500 0.7500  4 Ac 3.58, 4 Sm 3.58
Ho: 0.7500 0.2500 0.2500  4 Ac 3.58, 4 Sm 3.58
Ho: 0.7500 0.2500 0.7500  4 Ac 3.58, 4 Sm 3.58
Ho: 0.7500 0.7500 0.2500  4 Ac 3.58, 4 Sm 3.58
Ho: 0.7500 0.7500 0.7500  4 Ac 3.58, 4 Sm 3.58


Short version: a) is the most stable of them.


a) A plane-wave DFT calculation with PBE-GGA was carried out for a relaxed structure of AcSmHo2.

Output
- Crystal system: tetragonal
- Symmetry: P4/mmm
- Total magnetization: 0.00 Bohr magnetons per cell

a = 3.7271 Å, b = 3.7271 Å, c = 10.0262 Å
α = 90.00°, β = 90.00°, γ = 90.00°
Last column: nearest neighbours and their distance in Å.
Element x y z (fractional)
Ac: 0.0000 0.0000 0.0000  8 Ho 3.72, 4 Ac 3.73
Sm: 0.0000 0.0000 0.5000  8 Ho 3.56, 4 Sm 3.73
Ho: 0.5000 0.5000 0.2620  4 Sm 3.56, 4 Ac 3.72, 4 Ho 3.73
Ho: 0.5000 0.5000 0.7380  4 Sm 3.56, 4 Ac 3.72, 4 Ho 3.73


b) A plane-wave DFT calculation with PBE-GGA was carried out for a relaxed structure of AcSmHo2.

Output
- Crystal system: trigonal
- Symmetry: R-3m
- Total magnetization: 0.00 Bohr magnetons per cell

a = 3.5849 Å, b = 3.5849 Å, c = 38.2053 Å
α = 90.00°, β = 90.00°, γ = 120.00°
Last column: nearest neighbours and their distance in Å.
Element x y z (fractional)
Ac: 0.0000 0.0000 0.0000  2 Ho 3.52, 6 Ac 3.58
Ac: 0.3333 0.6667 0.6667  2 Ho 3.52, 6 Ac 3.58
Ac: 0.6667 0.3333 0.3333  2 Ho 3.52, 6 Ac 3.58
Sm: 0.0000 0.0000 0.5000  6 Ho 3.52, 6 Sm 3.58
Sm: 0.3333 0.6667 0.1667  6 Ho 3.52, 6 Sm 3.58
Sm: 0.6667 0.3333 0.8333  6 Ho 3.52, 6 Sm 3.58
Ho: 0.0000 0.0000 0.0922  3 Sm 3.52, 1 Ac 3.52, 6 Ho 3.58
Ho: 0.0000 0.0000 0.9078  3 Sm 3.52, 1 Ac 3.52, 6 Ho 3.58
Ho: 0.3333 0.6667 0.5745  3 Sm 3.52, 1 Ac 3.52, 6 Ho 3.58
Ho: 0.3333 0.6667 0.7589  3 Sm 3.52, 1 Ac 3.52, 6 Ho 3.58
Ho: 0.6667 0.3333 0.2411  3 Sm 3.52, 1 Ac 3.52, 6 Ho 3.58
Ho: 0.6667 0.3333 0.4255  3 Sm 3.52, 1 Ac 3.52, 6 Ho 3.58


Short version: a) is the most stable of them.


a) A plane-wave DFT calculation with PBE-GGA was carried out for a relaxed structure of AcSm12Ho6.

Output
- Crystal system: trigonal
- Symmetry: R-3m
- Total magnetization: 0.00 Bohr magnetons per cell

a = 8.8328 Å, b = 8.8328 Å, c = 8.8328 Å
α = 99.13°, β = 99.13°, γ = 99.13°
Last column: nearest neighbours and their distance in Å.
Element x y z (fractional)
Ac: 0.0000 0.0000 0.0000  6 Ho 3.52
Sm: 0.0802 0.3547 0.3547  6 Sm 3.37-3.69, 2 Ho 3.73
Sm: 0.2411 0.5000 0.7589  6 Sm 3.37-3.57, 4 Ho 3.44-3.61
Sm: 0.2411 0.7589 0.5000  6 Sm 3.37-3.57, 4 Ho 3.44-3.61
Sm: 0.3547 0.0802 0.3547  6 Sm 3.37-3.69, 2 Ho 3.73
Sm: 0.3547 0.3547 0.0802  6 Sm 3.37-3.69, 2 Ho 3.73
Sm: 0.5000 0.2411 0.7589  6 Sm 3.37-3.57, 4 Ho 3.44-3.61
Sm: 0.5000 0.7589 0.2411  6 Sm 3.37-3.57, 4 Ho 3.44-3.61
Sm: 0.6453 0.6453 0.9198  6 Sm 3.37-3.69, 2 Ho 3.73
Sm: 0.6453 0.9198 0.6453  6 Sm 3.37-3.69, 2 Ho 3.73
Sm: 0.7589 0.2411 0.5000  6 Sm 3.37-3.57, 4 Ho 3.44-3.61
Sm: 0.7589 0.5000 0.2411  6 Sm 3.37-3.57, 4 Ho 3.44-3.61
Sm: 0.9198 0.6453 0.6453  6 Sm 3.37-3.69, 2 Ho 3.73
Ho: 0.1036 0.1036 0.6564  1 Ho 3.17, 2 Sm 3.44, 1 Ac 3.52
Ho: 0.1036 0.6564 0.1036  1 Ho 3.17, 2 Sm 3.44, 1 Ac 3.52
Ho: 0.3436 0.8964 0.8964  1 Ho 3.17, 2 Sm 3.44, 1 Ac 3.52
Ho: 0.6564 0.1036 0.1036  1 Ho 3.17, 2 Sm 3.44, 1 Ac 3.52
Ho: 0.8964 0.3436 0.8964  1 Ho 3.17, 2 Sm 3.44, 1 Ac 3.52
Ho: 0.8964 0.8964 0.3436  1 Ho 3.17, 2 Sm 3.44, 1 Ac 3.52


b) A plane-wave DFT calculation with PBE-GGA was carried out for a relaxed structure of AcSm12Ho6.

Output
- Crystal system: trigonal
- Symmetry: R-3
- Total magnetization: 0.00 Bohr magnetons per cell

a = 8.6609 Å, b = 8.6609 Å, c = 8.6609 Å
α = 88.72°, β = 88.72°, γ = 88.72°
Last column: nearest neighbours and their distance in Å.
Element x y z (fractional)
Ac: 0.0000 0.0000 0.0000  6 Ho 3.56, 6 Sm 3.64
Sm: 0.0128 0.2049 0.3615  4 Sm 3.45-3.66, 4 Ho 3.53-3.69, 1 Ac 3.64
Sm: 0.2049 0.3615 0.0128  4 Sm 3.45-3.66, 4 Ho 3.53-3.69, 1 Ac 3.64
Sm: 0.2237 0.4588 0.5691  3 Ho 3.29-3.49, 4 Sm 3.32-3.58
Sm: 0.3615 0.0128 0.2049  4 Sm 3.45-3.66, 4 Ho 3.53-3.69, 1 Ac 3.64
Sm: 0.4309 0.7763 0.5412  3 Ho 3.29-3.49, 4 Sm 3.32-3.58
Sm: 0.4588 0.5691 0.2237  3 Ho 3.29-3.49, 4 Sm 3.32-3.58
Sm: 0.5412 0.4309 0.7763  3 Ho 3.29-3.49, 4 Sm 3.32-3.58
Sm: 0.5691 0.2237 0.4588  3 Ho 3.29-3.49, 4 Sm 3.32-3.58
Sm: 0.6385 0.9872 0.7951  4 Sm 3.45-3.66, 4 Ho 3.53-3.69, 1 Ac 3.64
Sm: 0.7763 0.5412 0.4309  3 Ho 3.29-3.49, 4 Sm 3.32-3.58
Sm: 0.7951 0.6385 0.9872  4 Sm 3.45-3.66, 4 Ho 3.53-3.69, 1 Ac 3.64
Sm: 0.9872 0.7951 0.6385  4 Sm 3.45-3.66, 4 Ho 3.53-3.69, 1 Ac 3.64
Ho: 0.0978 0.6907 0.2596  6 Sm 3.29-3.66, 1 Ac 3.56, 2 Ho 3.58
Ho: 0.2596 0.0978 0.6907  6 Sm 3.29-3.66, 1 Ac 3.56, 2 Ho 3.58
Ho: 0.3093 0.7404 0.9022  6 Sm 3.29-3.66, 1 Ac 3.56, 2 Ho 3.58
Ho: 0.6907 0.2596 0.0978  6 Sm 3.29-3.66, 1 Ac 3.56, 2 Ho 3.58
Ho: 0.7404 0.9022 0.3093  6 Sm 3.29-3.66, 1 Ac 3.56, 2 Ho 3.58
Ho: 0.9022 0.3093 0.7404  6 Sm 3.29-3.66, 1 Ac 3.56, 2 Ho 3.58


Short version: b) is the most stable of them.


a) A plane-wave DFT calculation with PBE-GGA was carried out for a relaxed structure of AcSm2Ho6.

Output
- Crystal system: trigonal
- Symmetry: R3m
- Total magnetization: 0.00 Bohr magnetons per cell

a = 9.3330 Å, b = 9.3330 Å, c = 9.3330 Å
α = 43.24°, β = 43.24°, γ = 43.24°
Last column: nearest neighbours and their distance in Å.
Element x y z (fractional)
Ac: 0.0000 0.0000 0.0000  6 Ho 3.52-3.57
Sm: 0.2421 0.2421 0.2421  9 Ho 3.50-3.73
Sm: 0.4160 0.4160 0.4160  9 Ho 3.54-3.92
Ho: 0.2207 0.7147 0.7147  6 Ho 3.26-3.48, 2 Sm 3.50, 1 Ac 3.57
Ho: 0.4404 0.9537 0.9537  6 Ho 3.26-3.53, 1 Ac 3.52, 2 Sm 3.54
Ho: 0.7147 0.2207 0.7147  6 Ho 3.26-3.48, 2 Sm 3.50, 1 Ac 3.57
Ho: 0.7147 0.7147 0.2207  6 Ho 3.26-3.48, 2 Sm 3.50, 1 Ac 3.57
Ho: 0.9537 0.4404 0.9537  6 Ho 3.26-3.53, 1 Ac 3.52, 2 Sm 3.54
Ho: 0.9537 0.9537 0.4404  6 Ho 3.26-3.53, 1 Ac 3.52, 2 Sm 3.54


b) A plane-wave DFT calculation with PBE-GGA was carried out for a relaxed structure of AcSm2Ho6.

Output
- Crystal system: monoclinic
- Symmetry: P2_1/c
- Total magnetization: 0.00 Bohr magnetons per cell

a = 8.7114 Å, b = 5.9125 Å, c = 12.6782 Å
α = 90.00°, β = 103.12°, γ = 90.00°
Last column: nearest neighbours and their distance in Å.
Element x y z (fractional)
Ac: 0.0000 0.0000 0.0000  6 Ho 3.42-3.56
Ac: 0.0000 0.5000 0.5000  6 Ho 3.42-3.56
Sm: 0.4423 0.1642 0.1646  7 Ho 3.37-3.64, 2 Sm 3.67
Sm: 0.4423 0.3358 0.6646  7 Ho 3.37-3.64, 2 Sm 3.67
Sm: 0.5577 0.6642 0.3354  7 Ho 3.37-3.64, 2 Sm 3.67
Sm: 0.5577 0.8358 0.8354  7 Ho 3.37-3.64, 2 Sm 3.67
Ho: 0.1348 0.7378 0.7598  4 Ho 3.25-3.63, 1 Ac 3.53, 1 Sm 3.64
Ho: 0.1348 0.7622 0.2598  4 Ho 3.25-3.63, 1 Ac 3.53, 1 Sm 3.64
Ho: 0.2790 0.2074 0.8746  5 Ho 3.25-3.63, 3 Sm 3.38-3.64, 1 Ac 3.42
Ho: 0.2790 0.2926 0.3746  5 Ho 3.25-3.63, 3 Sm 3.38-3.64, 1 Ac 3.42
Ho: 0.3449 0.6601 0.0356  4 Ho 3.31-3.59, 3 Sm 3.37-3.62, 1 Ac 3.56
Ho: 0.3449 0.8399 0.5356  4 Ho 3.31-3.59, 3 Sm 3.37-3.62, 1 Ac 3.56
Ho: 0.6551 0.1601 0.4644  4 Ho 3.31-3.59, 3 Sm 3.37-3.62, 1 Ac 3.56
Ho: 0.6551 0.3399 0.9644  4 Ho 3.31-3.59, 3 Sm 3.37-3.62, 1 Ac 3.56
Ho: 0.7210 0.7074 0.6254  5 Ho 3.25-3.63, 3 Sm 3.38-3.64, 1 Ac 3.42
Ho: 0.7210 0.7926 0.1254  5 Ho 3.25-3.63, 3 Sm 3.38-3.64, 1 Ac 3.42
Ho: 0.8652 0.2378 0.7402  4 Ho 3.25-3.63, 1 Ac 3.53, 1 Sm 3.64
Ho: 0.8652 0.2622 0.2402  4 Ho 3.25-3.63, 1 Ac 3.53, 1 Sm 3.64


Short version: b) is the most stable of them.